First-principles (PBE) data for an optimized crystal structure of Ac3Zn2PdO9, as listed in Alexandria via LeMat-Bulk.

Summary:
Uncorrected formation energy: -2.106 eV/atom
ρ: 9.0 g/cm3

Cell lengths 5.6905, 5.6905, 6.9898 Å; angles 90.00, 90.00, 120.00 degrees
Fractional positions:
1 Ac 0.0000 0.0000 0.0000
2 Ac 0.3333 0.6667 0.6714
3 Ac 0.6667 0.3333 0.3286
4 Zn 0.3333 0.6667 0.1626
5 Zn 0.6667 0.3333 0.8374
6 Pd 0.0000 0.0000 0.5000
7 O 0.0000 0.5000 0.0000
8 O 0.1658 0.3317 0.3334
9 O 0.1658 0.8342 0.3334
10 O 0.3317 0.1658 0.6666
11 O 0.5000 0.0000 0.0000
12 O 0.5000 0.5000 0.0000
13 O 0.6683 0.8342 0.3334
14 O 0.8342 0.1658 0.6666
15 O 0.8342 0.6683 0.6666



First-principles (PBE) data for an optimized crystal structure of Ac2ZnPdO5, as listed in Alexandria via LeMat-Bulk.

Summary:
Uncorrected formation energy: -1.843 eV/atom
ρ: 7.7 g/cm3

Cell lengths 7.2808, 7.2808, 5.7068 Å; angles 90.00, 90.00, 90.00 degrees
Fractional positions:
1 Ac 0.1763 0.3237 0.0000
2 Ac 0.3237 0.8237 0.0000
3 Ac 0.6763 0.1763 0.0000
4 Ac 0.8237 0.6763 0.0000
5 Zn 0.0000 0.0000 0.5000
6 Zn 0.5000 0.5000 0.5000
7 Pd 0.0000 0.5000 0.5000
8 Pd 0.5000 0.0000 0.5000
9 O 0.0000 0.0000 0.0000
10 O 0.1362 0.6362 0.2547
11 O 0.1362 0.6362 0.7453
12 O 0.3638 0.1362 0.2547
13 O 0.3638 0.1362 0.7453
14 O 0.5000 0.5000 0.0000
15 O 0.6362 0.8638 0.2547
16 O 0.6362 0.8638 0.7453
17 O 0.8638 0.3638 0.2547
18 O 0.8638 0.3638 0.7453



The lowest uncorrected formation energy belongs to which entry? Ac3Zn2PdO9



What is the formula in the first record? Ac3Zn2PdO9



What is the ρ in the first record? 9.0 g/cm3